Compound: AcAu
Source: Alexandria via LeMat-Bulk
Functional: PBE-GGA
Structure: optimized geometry

```
4
Lattice="4.195 0.000 0.000 0.000 4.965 0.000 -2.081 0.000 5.951" Properties=species:S:1:pos:R:3 pbc="T T T"
Ac 0.002 1.241 1.607
Ac 2.113 3.724 4.343
Au 0.017 1.241 4.909
Au 2.098 3.724 1.041
```

Values from the calculation:
The magnetic moment comes out at 0.000 Bohr magnetons per cell. As for the total energy: -0.332 Ry per atom. For the energy of formation, the calculation gives -79 kJ/mol of atoms. As for the space group: P2_1/m, No. 11.

---

Compound: SiNi3Br
Source: Alexandria via LeMat-Bulk
Functional: PBE-GGA
Structure: optimized geometry

```
5
Lattice="4.342 0.000 0.000 0.000 4.342 0.000 0.000 0.000 4.342" Properties=species:S:1:pos:R:3 pbc="T T T"
Si 0.000 0.000 0.000
Ni 0.000 0.000 2.171
Ni 0.000 2.171 0.000
Ni 2.171 0.000 0.000
Br 2.171 2.171 2.171
```

Values from the calculation:
The magnetic moment comes out at 0.000 Bohr magnetons per cell. As for the total energy: -0.321 Ry per atom. As for the uncorrected formation energy: 0.52 eV/atom. Its relative energy among the computed polymorphs is 0 meV/atom. As for the space group: Pm-3m, No. 221.